*A*
Material: KRbH2Pt
Method: DFT, GGA-PBE
State: relaxed

Space group   R3m (160)

The structure in POSCAR format:
```
KRbH2Pt
1.0
2.574 1.486 5.847
-2.574 1.486 5.847
0.000 -2.972 5.847
K Rb H Pt
1 1 2 1
direct
0.000 0.000 0.000
0.505 0.505 0.505
0.159 0.159 0.159
0.350 0.350 0.350
0.255 0.255 0.255
```

=====

*B*
Material: KRbH2Pt
Method: DFT, GGA-PBE
State: relaxed

Space group   I4mm (107)

The structure in POSCAR format:
```
KRbH2Pt
1.0
-2.106 2.106 6.190
2.106 -2.106 6.190
2.106 2.106 -6.190
K Rb H Pt
1 1 2 1
direct
0.000 0.000 0.000
0.267 0.267 0.000
0.494 0.494 0.000
0.766 0.766 0.000
0.629 0.629 0.000
```

=====

Which one is most stable, and which one is least stable? *A* is the most stable of them, while *B* is the least stable.

=====

*A*
Material: LiHPd3
Method: DFT, GGA-PBE
State: relaxed

Space group   Pm (6)

The structure in POSCAR format:
```
LiHPd3
1.0
4.836 0.000 0.000
0.000 2.806 0.000
-1.661 0.000 4.550
Li H Pd
1 1 3
direct
0.000 0.000 0.000
0.280 0.000 0.726
0.003 0.500 0.495
0.506 0.500 0.997
0.511 0.000 0.489
```

=====

*B*
Material: LiHPd3
Method: DFT, GGA-PBE
State: relaxed

Space group   Pm-3m (221)

The structure in POSCAR format:
```
LiHPd3
1.0
3.963 0.000 0.000
0.000 3.963 0.000
0.000 0.000 3.963
Li H Pd
1 1 3
direct
0.000 0.000 0.000
0.500 0.500 0.500
0.000 0.500 0.500
0.500 0.000 0.500
0.500 0.500 0.000
```

=====

Which one is most stable, and which one is least stable? *A* is the most stable of them, while *B* is the least stable.

=====

*A*
Material: Sr2LiH6Pd
Method: DFT, GGA-PBE
State: relaxed

Space group   I4/mmm (139)

The structure in POSCAR format:
```
Sr2LiH6Pd
1.0
-2.702 2.702 3.816
2.702 -2.702 3.816
2.702 2.702 -3.816
Sr Li H Pd
2 1 6 1
direct
0.250 0.750 0.500
0.750 0.250 0.500
0.000 0.000 0.000
0.256 0.256 0.000
0.256 0.256 0.511
0.256 0.744 0.000
0.744 0.256 0.000
0.744 0.744 0.000
0.744 0.744 0.489
0.500 0.500 0.000
```

=====

*B*
Material: Sr2LiH6Pd
Method: DFT, GGA-PBE
State: relaxed

Space group   C2/c (15)

The structure in POSCAR format:
```
Sr2LiH6Pd
1.0
5.202 -4.080 0.000
5.202 4.080 0.000
-1.813 0.000 6.064
Sr Li H Pd
4 2 12 2
direct
0.060 0.333 0.256
0.333 0.060 0.756
0.667 0.940 0.244
0.940 0.667 0.744
0.459 0.541 0.750
0.541 0.459 0.250
0.007 0.324 0.862
0.216 0.728 0.502
0.247 0.397 0.639
0.272 0.784 0.998
0.324 0.007 0.362
0.397 0.247 0.139
0.603 0.753 0.861
0.676 0.993 0.638
0.728 0.216 0.002
0.753 0.603 0.361
0.784 0.272 0.498
0.993 0.676 0.138
0.200 0.800 0.250
0.800 0.200 0.750
```

=====

Which one is most stable, and which one is least stable? *A* is the most stable of them, while *B* is the least stable.

=====

*A*
Material: MgNi2H3
Method: DFT, GGA-PBE
State: relaxed

Space group   Cmce (64)

The structure in POSCAR format:
```
MgNi2H3
1.0
2.246 -4.399 0.000
2.246 4.399 0.000
0.000 0.000 4.651
Mg Ni H
2 4 6
direct
0.000 0.000 0.000
0.500 0.500 0.500
0.184 0.816 0.549
0.316 0.684 0.049
0.684 0.316 0.951
0.816 0.184 0.451
0.000 0.000 0.500
0.039 0.461 0.750
0.461 0.039 0.250
0.500 0.500 0.000
0.539 0.961 0.750
0.961 0.539 0.250
```

=====

*B*
Material: MgNi2H3
Method: DFT, GGA-PBE
State: relaxed

Space group   C2/m (12)

The structure in POSCAR format:
```
MgNi2H3
1.0
2.312 -4.353 0.000
2.312 4.353 0.000
-2.287 0.000 2.330
Mg Ni H
1 2 3
direct
0.000 0.000 0.000
0.315 0.685 0.000
0.685 0.315 0.000
0.245 0.755 0.500
0.500 0.500 0.000
0.755 0.245 0.500
```

=====

Which one is most stable, and which one is least stable? *A* is the most stable of them, while *B* is the least stable.

=====

*A*
Material: Mo2H
Method: DFT, GGA-PBE
State: relaxed

Space group   Fd-3m (227)

The structure in POSCAR format:
```
Mo2H
1.0
0.000 3.633 3.633
3.633 0.000 3.633
3.633 3.633 0.000
Mo H
4 2
direct
0.000 0.000 0.000
0.000 0.000 0.500
0.000 0.500 0.000
0.500 0.000 0.000
0.375 0.375 0.375
0.625 0.625 0.625
```

=====

*B*
Material: Mo2H
Method: DFT, GGA-PBE
State: relaxed

Space group   Fm-3m (225)

The structure in POSCAR format:
```
Mo2H
1.0
0.000 2.637 2.637
2.637 0.000 2.637
2.637 2.637 0.000
Mo H
2 1
direct
0.250 0.250 0.250
0.750 0.750 0.750
0.000 0.000 0.000
```

=====

Which one is most stable, and which one is least stable? *B* is the most stable of them, while *A* is the least stable.

=====

*A*
Material: MoH
Method: DFT, GGA-PBE
State: relaxed

Space group   F-43m (216)

The structure in POSCAR format:
```
MoH
1.0
0.000 2.119 2.119
2.119 0.000 2.119
2.119 2.119 0.000
Mo H
1 1
direct
0.000 0.000 0.000
0.250 0.250 0.250
```

=====

*B*
Material: MoH
Method: DFT, GGA-PBE
State: relaxed

Space group   P-6m2 (187)

The structure in POSCAR format:
```
MoH
1.0
2.903 0.000 0.000
-1.451 2.514 0.000
0.000 0.000 2.579
Mo H
1 1
direct
0.000 0.000 0.000
0.333 0.667 0.500
```

=====

Which one is most stable, and which one is least stable? *A* is the most stable of them, while *B* is the least stable.